Density functional theory data (PBE-GGA) for Al2In2As after structural relaxation.

The structure belongs to space group P4/mbm (No. 127); the cell edges are 6.9718, 6.9718 and 4.6612 Å and the angles 90.00°, 90.00° and 90.00°. The asymmetric unit holds Al at (0.1360, 0.3640, 0.0000), In at (0.1718, 0.6718, 0.5000) and As at (0.0000, 0.0000, 0.0000).

The total energy comes out at -33.97 eV per cell. The calculation puts the calculated formation energy at 0.125 eV per atom.